Crystalline SrTlAg3 at its relaxed geometry, computed with PBE.

* distance to the lowest polymorph of the same formula: 0.268 eV/atom
* energy of formation: 73 kJ/mol of formula units
* VASP energy: -2.3695 eV/atom

The structure in CIF format:
```
data_SrTlAg3
_chemical_formula_sum 'Sr1 Tl1 Ag3'
_cell_length_a 5.3211
_cell_length_b 5.3211
_cell_length_c 5.3211
_cell_angle_alpha 90.00
_cell_angle_beta 90.00
_cell_angle_gamma 90.00
_space_group_name_H-M_alt 'P m -3 m'
_space_group_IT_number 221
_space_group_name_Hall '-P 4 2 3'
loop_
_atom_site_label
_atom_site_fract_x
_atom_site_fract_y
_atom_site_fract_z
Sr1 0.0000 0.0000 0.0000
Tl1 0.5000 0.5000 0.5000
Ag1 0.0000 0.5000 0.5000
```

---

Crystalline La3AlCo at its relaxed geometry, computed with PBE.

* distance to the lowest polymorph of the same formula: 0.060 eV/atom
* energy of formation: -68 kJ/mol of formula units
* VASP energy: -5.2667 eV/atom

The structure in CIF format:
```
data_La3AlCo
_chemical_formula_sum 'La3 Al1 Co1'
_cell_length_a 5.2875
_cell_length_b 5.2875
_cell_length_c 5.2875
_cell_angle_alpha 90.00
_cell_angle_beta 90.00
_cell_angle_gamma 90.00
_space_group_name_H-M_alt 'P m -3 m'
_space_group_IT_number 221
_space_group_name_Hall '-P 4 2 3'
loop_
_atom_site_label
_atom_site_fract_x
_atom_site_fract_y
_atom_site_fract_z
La1 0.0000 0.0000 0.5000
Al1 0.5000 0.5000 0.5000
Co1 0.0000 0.0000 0.0000
```

---

Crystalline Pm2P3PtRh4 at its relaxed geometry, computed with PBE.

* energy of formation: -900 kJ/mol of formula units
* VASP energy: -7.0501 eV/atom

The structure in CIF format:
```
data_Pm2P3PtRh4
_chemical_formula_sum 'Pm2 P3 Pt1 Rh4'
_cell_length_a 4.0139
_cell_length_b 4.0139
_cell_length_c 10.6405
_cell_angle_alpha 90.00
_cell_angle_beta 90.00
_cell_angle_gamma 90.00
_space_group_name_H-M_alt 'P -4 m 2'
_space_group_IT_number 115
loop_
_space_group_symop_operation_xyz
'x,y,z'
'y,-x,-z'
'-x,-y,z'
'-y,x,-z'
'-x,y,z'
'-y,-x,-z'
'x,-y,z'
'y,x,-z'
loop_
_atom_site_label
_atom_site_fract_x
_atom_site_fract_y
_atom_site_fract_z
Pm1 0.0000 0.5000 0.2399
P1 0.0000 0.0000 0.0000
P2 0.0000 0.5000 0.6248
Pt1 0.5000 0.5000 0.0000
Rh1 0.0000 0.0000 0.5000
Rh2 0.0000 0.5000 0.8342
Rh3 0.5000 0.5000 0.5000
```

---

Crystalline LiPt2Br at its relaxed geometry, computed with PBE.

* formation energy without anion corrections: 0.53 eV per formula unit
* distance to the lowest polymorph of the same formula: 0.363 eV/atom
* VASP energy: -3.7844 eV/atom

The structure in CIF format:
```
data_LiPt2Br
_chemical_formula_sum 'Li2 Pt4 Br2'
_cell_length_a 4.0117
_cell_length_b 4.0117
_cell_length_c 8.2234
_cell_angle_alpha 90.00
_cell_angle_beta 90.00
_cell_angle_gamma 90.00
_space_group_name_H-M_alt 'I -4 m 2'
_space_group_IT_number 119
_space_group_name_Hall 'I -4 -2'
loop_
_atom_site_label
_atom_site_fract_x
_atom_site_fract_y
_atom_site_fract_z
Li1 0.0000 0.0000 0.0000
Pt1 0.0000 0.0000 0.5000
Pt2 0.0000 0.5000 0.7500
Br1 0.0000 0.5000 0.2500
```

---

| no. | ρ (g/cm³) | total magnetic moment (Bohr magnetons per cell) |
| --- | --- | --- |
| 1 | 6.78 | 0.0 |
| 2 | 5.65 | 0.0 |
| 3 | 9.59 | 0.0 |
| 4 | 11.97 | 0.0 |